Entry one
DFT (meta-GGA SCAN) results for a PBEsol-optimized structure of CaMoBr2.

Calculated values
**Theoretical density**: 5.05 g cm⁻³
**DOS(E_F)**: 3.15 states/eV/cell

POSCAR file:
```
CaMoBr2
1.0
-3.1587 -1.2018 0.6362
-0.5001 -2.2592 2.5441
-2.7222 6.0042 7.1210
Ca Br Mo
1 2 1
direct
0.0000 0.0000 0.0000
0.8934 0.8934 0.3198
0.1066 0.1066 0.6802
0.5000 0.5000 0.5000
```

---

Entry two
DFT (meta-GGA SCAN) results for a PBEsol-optimized structure of CaMoBr2.

Calculated values
**Theoretical density**: 5.27 g cm⁻³
**DOS(E_F)**: 1.66 states/eV/cell

POSCAR file:
```
CaMoBr2
1.0
-0.1061 2.4971 2.1965
0.5228 -2.1578 2.4783
8.3111 1.0733 -0.8186
Br Mo Ca
2 1 1
direct
0.0000 0.0000 0.9159
0.5000 0.5000 0.2979
0.5000 0.5000 0.7855
0.0000 0.0000 0.5007
```

---

Entry three
DFT (meta-GGA SCAN) results for a PBEsol-optimized structure of CaMoBr2.

Calculated values
**Theoretical density**: 4.70 g cm⁻³
**DOS(E_F)**: 2.28 states/eV/cell

POSCAR file:
```
CaMoBr2
1.0
3.4409 0.0000 0.0000
0.0000 4.9357 0.0000
-1.7204 -2.4679 6.1546
Br Ca Mo
2 1 1
direct
0.6538 0.6538 0.3076
0.3462 0.3462 0.6924
0.5000 0.0000 0.0000
0.0000 0.5000 0.0000
```

---

Tell me which of them is the most stable. Sure, it is entry two.

---

Entry one
DFT (meta-GGA SCAN) results for a PBEsol-optimized structure of CaOs2Br.

Calculated values
**Theoretical density**: 10.50 g cm⁻³
**DOS(E_F)**: 3.46 states/eV/cell

POSCAR file:
```
CaOs2Br
1.0
-3.2243 -1.6697 -0.2538
1.4542 -2.4665 -2.2474
1.4100 -3.4346 4.6819
Os Ca Br
2 1 1
direct
0.5000 0.0000 0.0000
0.0000 0.5000 0.0000
0.0000 0.0000 0.5000
0.5000 0.5000 0.5000
```

---

Entry two
DFT (meta-GGA SCAN) results for a PBEsol-optimized structure of CaOs2Br.

Calculated values
**Theoretical density**: 12.00 g cm⁻³
**DOS(E_F)**: 4.36 states/eV/cell

POSCAR file:
```
CaOs2Br
1.0
-3.5453 2.1816 -1.7042
-0.3960 -0.8665 4.3961
3.8021 2.3984 -0.1575
Br Os Ca
1 2 1
direct
0.0000 0.5000 0.5000
0.0000 0.0000 0.0000
0.5000 0.2500 0.7500
0.5000 0.7500 0.2500
```

---

Tell me which of them is the most stable. Sure, it is entry one.

---

Entry one
DFT (meta-GGA SCAN) results for a PBEsol-optimized structure of CaPbBr2.

Calculated values
**Theoretical density**: 5.10 g cm⁻³
**DOS(E_F)**: 1.23 states/eV/cell

POSCAR file:
```
CaPbBr2
1.0
3.4654 0.0000 0.0000
0.0000 3.4654 0.0000
0.0000 0.0000 11.0296
Br Pb Ca
2 1 1
direct
0.0000 0.0000 0.1540
0.0000 0.0000 0.8460
0.5000 0.5000 0.5000
0.5000 0.5000 0.0000
```

---

Entry two
DFT (meta-GGA SCAN) results for a PBEsol-optimized structure of CaPbBr2.

Calculated values
**Theoretical density**: 5.92 g cm⁻³
**DOS(E_F)**: 1.68 states/eV/cell

POSCAR file:
```
CaPbBr2
1.0
-1.1730 3.4014 0.7015
-4.4144 -1.1540 -1.7858
0.9300 -2.9616 6.3369
Br Pb Ca
2 1 1
direct
0.0174 0.0174 0.0348
0.7950 0.2950 0.5901
0.2152 0.7152 0.4304
0.4723 0.4723 0.9447
```

---

Tell me which of them is the most stable. Sure, it is entry one.